! Ag2HgCl | Alexandria | PBE | optimized geometry; values from VASP
! **D(E_F)**: 0.361 states/eV/atom
! **Calculated volume**: 21.57 Å³ per atom
! **Total magnetization**: 0.00 μB per atom
! **Symmetry**: R3m
! **Formation energy (no corrections)**: -79 meV per atom
&SYSTEM
  ibrav = 0, nat = 4, ntyp = 3
/
ATOMIC_SPECIES
Ag 107.87 Ag.upf
Hg 200.59 Hg.upf
Cl 35.45 Cl.upf
CELL_PARAMETERS angstrom
1.708 0.986 8.540
-1.708 0.986 8.540
0.000 -1.972 8.540
ATOMIC_POSITIONS crystal
Ag 0.000 0.000 0.000
Ag 0.252 0.252 0.252
Hg 0.501 0.501 0.501
Cl 0.738 0.738 0.738

! NdGaC | Alexandria | PBE | optimized geometry; values from VASP
! **D(E_F)**: 0.364 states/eV/atom
! **Calculated volume**: 21.17 Å³ per atom
! **Energy**: -34.13 eV per cell
! **Total magnetization**: 0.00 μB per atom
! **Symmetry**: I4/mmm
&SYSTEM
  ibrav = 0, nat = 6, ntyp = 3
/
ATOMIC_SPECIES
Nd 144.24 Nd.upf
Ga 69.72 Ga.upf
C 12.01 C.upf
CELL_PARAMETERS angstrom
-1.931 1.931 8.517
1.931 -1.931 8.517
1.931 1.931 -8.517
ATOMIC_POSITIONS crystal
Nd 0.177 0.177 0.000
Nd 0.823 0.823 0.000
Ga 0.432 0.432 0.000
Ga 0.568 0.568 0.000
C 0.321 0.321 0.000
C 0.679 0.679 0.000

! NiAgPd2N | Alexandria | PBE | optimized geometry; values from VASP
! **D(E_F)**: 0.564 states/eV/atom
! **Calculated volume**: 15.85 Å³ per atom
! **Total magnetization**: 0.00 μB per atom
! **Symmetry**: P4/mmm
! **Formation energy (no corrections)**: 601 meV per atom
&SYSTEM
  ibrav = 0, nat = 5, ntyp = 4
/
ATOMIC_SPECIES
Ni 58.69 Ni.upf
Ag 107.87 Ag.upf
Pd 106.42 Pd.upf
N 14.01 N.upf
CELL_PARAMETERS angstrom
4.897 0.000 0.000
0.000 4.897 0.000
0.000 0.000 3.305
ATOMIC_POSITIONS crystal
Ni 0.000 0.000 0.000
Ag 0.500 0.500 0.500
Pd 0.000 0.500 0.000
Pd 0.500 0.000 0.000
N 0.000 0.000 0.500

! Tb2AlAg | Alexandria | PBE | optimized geometry; values from VASP
! **D(E_F)**: 0.626 states/eV/atom
! **Calculated volume**: 25.77 Å³ per atom
! **Energy**: -16.32 eV per cell
! **Total magnetization**: 0.00 μB per atom
! **Symmetry**: R-3m
&SYSTEM
  ibrav = 0, nat = 4, ntyp = 3
/
ATOMIC_SPECIES
Tb 158.93 Tb.upf
Al 26.98 Al.upf
Ag 107.87 Ag.upf
CELL_PARAMETERS angstrom
1.796 1.037 9.228
-1.796 1.037 9.228
0.000 -2.074 9.228
ATOMIC_POSITIONS crystal
Tb 0.248 0.248 0.248
Tb 0.752 0.752 0.752
Al 0.500 0.500 0.500
Ag 0.000 0.000 0.000

! Rb2PdPbBr6 | Alexandria | PBE | optimized geometry; values from VASP
! **D(E_F)**: 0.413 states/eV/atom
! **Calculated volume**: 34.86 Å³ per atom
! **Total magnetization**: 0.00 μB per atom
! **Symmetry**: Fm-3m
! **Formation energy (no corrections)**: -1019 meV per atom
&SYSTEM
  ibrav = 0, nat = 10, ntyp = 4
/
ATOMIC_SPECIES
Rb 85.47 Rb.upf
Pd 106.42 Pd.upf
Pb 207.20 Pb.upf
Br 79.90 Br.upf
CELL_PARAMETERS angstrom
0.000 5.586 5.586
5.586 0.000 5.586
5.586 5.586 0.000
ATOMIC_POSITIONS crystal
Rb 0.250 0.250 0.250
Rb 0.750 0.750 0.750
Pd 0.000 0.000 0.000
Pb 0.500 0.500 0.500
Br 0.237 0.237 0.763
Br 0.237 0.763 0.237
Br 0.237 0.763 0.763
Br 0.763 0.237 0.237
Br 0.763 0.237 0.763
Br 0.763 0.763 0.237

! TbPrNd2Y | Alexandria | PBE | optimized geometry; values from VASP
! **D(E_F)**: 1.215 states/eV/atom
! **Calculated volume**: 35.35 Å³ per atom
! **Energy**: -48.11 eV per cell
! **Total magnetization**: 0.00 μB per atom
! **Symmetry**: P2/c
&SYSTEM
  ibrav = 0, nat = 10, ntyp = 4
/
ATOMIC_SPECIES
Tb 158.93 Tb.upf
Pr 140.91 Pr.upf
Nd 144.24 Nd.upf
Y 88.91 Y.upf
CELL_PARAMETERS angstrom
8.264 0.000 0.000
0.000 6.825 0.000
-0.019 0.000 6.268
ATOMIC_POSITIONS crystal
Tb 0.000 0.158 0.250
Tb 0.000 0.842 0.750
Pr 0.500 0.000 0.000
Pr 0.500 0.000 0.500
Nd 0.195 0.309 0.751
Nd 0.195 0.691 0.251
Nd 0.805 0.309 0.749
Nd 0.805 0.691 0.249
Y 0.500 0.420 0.250
Y 0.500 0.580 0.750

! ThNiAg | Alexandria | PBE | optimized geometry; values from VASP
! **D(E_F)**: 0.588 states/eV/atom
! **Calculated volume**: 20.77 Å³ per atom
! **Energy**: -34.29 eV per cell
! **Total magnetization**: 0.00 μB per atom
! **Symmetry**: Cmcm
&SYSTEM
  ibrav = 0, nat = 6, ntyp = 3
/
ATOMIC_SPECIES
Th 232.04 Th.upf
Ni 58.69 Ni.upf
Ag 107.87 Ag.upf
CELL_PARAMETERS angstrom
1.838 -8.519 0.000
1.838 8.519 0.000
0.000 0.000 3.980
ATOMIC_POSITIONS crystal
Th 0.098 0.902 0.750
Th 0.902 0.098 0.250
Ni 0.452 0.548 0.750
Ni 0.548 0.452 0.250
Ag 0.289 0.711 0.750
Ag 0.711 0.289 0.250

! FeSi3N | Alexandria | PBE | optimized geometry; values from VASP
! **D(E_F)**: 0.631 states/eV/atom
! **Calculated volume**: 15.21 Å³ per atom
! **Total magnetization**: 0.20 μB per atom
! **Symmetry**: Pm-3m
! **Formation energy (no corrections)**: 927 meV per atom
&SYSTEM
  ibrav = 0, nat = 5, ntyp = 3
/
ATOMIC_SPECIES
Fe 55.84 Fe.upf
Si 28.09 Si.upf
N 14.01 N.upf
CELL_PARAMETERS angstrom
4.237 0.000 0.000
0.000 4.237 0.000
0.000 0.000 4.237
ATOMIC_POSITIONS crystal
Fe 0.000 0.000 0.000
Si 0.000 0.000 0.500
Si 0.000 0.500 0.000
Si 0.500 0.000 0.000
N 0.500 0.500 0.500